Model P:
The following is a DFT calculation (PBE) of a relaxed LaGa3Au crystal.

```
LaGa3Au
1.0
5.7635 0.0000 0.0000
0.0000 5.7635 0.0000
0.0000 0.0000 5.7635
La Ga Au
1 3 1
direct
0.0000 0.0000 0.0000
0.0000 0.0000 0.5000
0.0000 0.5000 0.0000
0.5000 0.0000 0.0000
0.5000 0.5000 0.5000
```

Its theoretical density is 4.7 Mg/m³. As for the space group: Pm-3m (221).

***

Model Q:
The following is a DFT calculation (PBE) of a relaxed LaGa3Au crystal.

```
LaGa3Au
1.0
4.4157 0.0000 0.0000
0.0000 4.4157 0.0000
0.0000 0.0000 10.8047
La Ga Au
2 6 2
direct
0.0000 0.0000 0.0000
0.5000 0.5000 0.5000
0.0000 0.0000 0.4037
0.0000 0.5000 0.2632
0.0000 0.5000 0.7632
0.5000 0.0000 0.2632
0.5000 0.0000 0.7632
0.5000 0.5000 0.9037
0.0000 0.0000 0.6369
0.5000 0.5000 0.1369
```

Its theoretical density is 8.6 Mg/m³. As for the space group: I4mm (107).

***

Model R:
The following is a DFT calculation (PBE) of a relaxed LaGa3Au crystal.

```
LaGa3Au
1.0
3.1328 -5.3586 0.0000
3.1328 5.3586 0.0000
0.0000 0.0000 6.2554
La Ga Au
2 6 2
direct
0.2441 0.7559 0.7500
0.7559 0.2441 0.2500
0.2637 0.2637 0.0000
0.2637 0.2637 0.5000
0.3587 0.6413 0.2500
0.6413 0.3587 0.7500
0.7363 0.7363 0.0000
0.7363 0.7363 0.5000
0.1221 0.8779 0.2500
0.8779 0.1221 0.7500
```

Its theoretical density is 8.6 Mg/m³. As for the space group: Cmcm (63).

***

Which structure is most stable, and how do the rest compare? From most to least stable: model Q, model R, model P.

***

Model P:
The following is a DFT calculation (PBE) of a relaxed LaGa2Au4 crystal.

```
LaGa2Au4
1.0
2.1457 1.2388 10.6717
-2.1457 1.2388 10.6717
0.0000 -2.4777 10.6717
La Ga Au
1 2 4
direct
0.0000 0.0000 0.0000
0.1930 0.1930 0.1930
0.8070 0.8070 0.8070
0.1097 0.1097 0.1097
0.2767 0.2767 0.2767
0.7233 0.7233 0.7233
0.8903 0.8903 0.8903
```

Its theoretical density is 10.4 Mg/m³. As for the space group: R-3m (166).

***

Model Q:
The following is a DFT calculation (PBE) of a relaxed LaGa2Au4 crystal.

```
LaGa2Au4
1.0
17.9607 0.0000 0.0000
0.0000 4.6111 0.0000
0.0000 0.0000 6.9057
La Ga Au
4 8 16
direct
0.1335 0.2500 0.0064
0.3665 0.7500 0.5064
0.6335 0.2500 0.4936
0.8665 0.7500 0.9936
0.0360 0.7500 0.2400
0.2259 0.2500 0.5277
0.2741 0.7500 0.0277
0.4640 0.2500 0.7400
0.5360 0.7500 0.2600
0.7259 0.2500 0.9723
0.7741 0.7500 0.4723
0.9640 0.2500 0.7600
0.0353 0.7500 0.7850
0.0808 0.2500 0.5156
0.1775 0.7500 0.3150
0.1941 0.7500 0.7227
0.3059 0.2500 0.2227
0.3225 0.2500 0.8150
0.4192 0.7500 0.0156
0.4647 0.2500 0.2850
0.5353 0.7500 0.7150
0.5808 0.2500 0.9844
0.6775 0.7500 0.1850
0.6941 0.7500 0.7773
0.8059 0.2500 0.2773
0.8225 0.2500 0.6850
0.9192 0.7500 0.4844
0.9647 0.2500 0.2150
```

Its theoretical density is 12.4 Mg/m³. As for the space group: Pnma (62).

***

Which structure is most stable, and how do the rest compare? From most to least stable: model Q, model P.

***

Model P:
The following is a DFT calculation (PBE) of a relaxed LiGa3Au3 crystal.

```
LiGa3Au3
1.0
4.6712 2.6969 1.7450
-4.6712 2.6969 1.7450
0.0000 -5.3938 1.7450
Li Ga Au
1 3 3
direct
0.0000 0.0000 0.0000
0.4990 0.4990 0.9987
0.4990 0.9988 0.4990
0.9988 0.4990 0.4990
0.4991 0.9989 0.9989
0.9989 0.4991 0.9989
0.9989 0.9989 0.4991
```

Its theoretical density is 10.2 Mg/m³. As for the space group: R3m (160).

***

Model Q:
The following is a DFT calculation (PBE) of a relaxed LiGa3Au3 crystal.

```
LiGa3Au3
1.0
7.1608 0.0000 0.0000
0.0000 7.1608 0.0000
0.0000 0.0000 7.1608
Li Ga Au
2 6 6
direct
0.0000 0.0000 0.0000
0.5000 0.5000 0.5000
0.0000 0.2500 0.5000
0.0000 0.7500 0.5000
0.2500 0.5000 0.0000
0.5000 0.0000 0.2500
0.5000 0.0000 0.7500
0.7500 0.5000 0.0000
0.0000 0.5000 0.2500
0.0000 0.5000 0.7500
0.2500 0.0000 0.5000
0.5000 0.2500 0.0000
0.5000 0.7500 0.0000
0.7500 0.0000 0.5000
```

Its theoretical density is 7.3 Mg/m³. As for the space group: Pm-3n (223).

***

Model R:
The following is a DFT calculation (PBE) of a relaxed LiGa3Au3 crystal.

```
LiGa3Au3
1.0
3.8512 2.2235 5.2091
-3.8512 2.2235 5.2091
0.0000 -4.4469 5.2091
Li Ga Au
2 6 6
direct
0.1677 0.1677 0.1677
0.8323 0.8323 0.8323
0.0462 0.7243 0.3879
0.2757 0.6121 0.9538
0.3879 0.0462 0.7243
0.6121 0.9538 0.2757
0.7243 0.3879 0.0462
0.9538 0.2757 0.6121
0.1240 0.4426 0.7669
0.2331 0.8760 0.5574
0.4426 0.7669 0.1240
0.5574 0.2331 0.8760
0.7669 0.1240 0.4426
0.8760 0.5574 0.2331
```

Its theoretical density is 10.0 Mg/m³. As for the space group: R-3 (148).

***

Which structure is most stable, and how do the rest compare? From most to least stable: model R, model P, model Q.